Record 1
A relaxed KBa2Mg crystal, computed with GGA-PBE.

Calculated values
The formation energy from the elements is -0.001 eV/atom. For the magnetic moment, the calculation gives 0.00 μB per formula unit. For the density of states at the Fermi level, the calculation gives 0.982 states/eV per atom.

Lattice parameters (Å, degrees): 4.4024 4.3920 12.1426 68.69 90.00 90.00
Closest atoms and distances in Å follow each position.
Atoms (fractional coordinates):
Ba (0.0000, 0.4353, 0.5651)  4 Mg 3.75, 1 Ba 4.18
Ba (0.0000, 0.0647, 0.9349)  4 Mg 3.75, 1 Ba 4.18
K (0.5000, 0.2500, 0.2500)  4 K 4.39-4.40, 8 Ba 4.73
Mg (0.5000, 0.7500, 0.7500)  8 Ba 3.75



Record 2
A relaxed KBa2Mg crystal, computed with GGA-PBE.

Calculated values
The formation energy from the elements is 0.134 eV/atom. For the magnetic moment, the calculation gives 0.00 μB per formula unit. For the density of states at the Fermi level, the calculation gives 1.071 states/eV per atom.

Lattice parameters (Å, degrees): 7.0854 7.0854 7.2865 77.01 77.01 36.14
Closest atoms and distances in Å follow each position.
Atoms (fractional coordinates):
Mg (0.2500, 0.2500, 0.2500)  6 Ba 3.86-4.29, 4 K 4.25
Ba (0.5173, 0.5173, 0.4748)  3 Mg 3.86-4.29, 2 Ba 4.06, 3 K 4.10-4.29
Ba (0.9827, 0.9827, 0.0252)  3 Mg 3.86-4.29, 2 Ba 4.06, 3 K 4.10-4.29
K (0.7500, 0.7500, 0.7500)  6 Ba 4.10-4.29, 4 Mg 4.25, 2 K 4.40